No. 1
A plane-wave DFT calculation with PBE-GGA was carried out for a geometry-optimized LiLuIn2 structure.

Formation enthalpy at 0 K   -0.3636 eV/atom
Size of the total moment   0.2 μB/f.u.
VASP energy   -3.34 eV per atom

Lattice parameters (Å, degrees): 3.5075 3.5075 7.2486 90.00 90.00 90.00
Fractional coordinates of all 4 atoms:
Li1 0.5000 0.5000 0.0000
In1 0.0000 0.0000 0.2166
In2 0.0000 0.0000 0.7834
Lu1 0.5000 0.5000 0.5000

---

No. 2
A plane-wave DFT calculation with PBE-GGA was carried out for a geometry-optimized PmLuTcAu structure.

Formation enthalpy at 0 K   -0.3117 eV/atom
Size of the total moment   0.0 μB/f.u.
VASP energy   -6.04 eV per atom

Lattice parameters (Å, degrees): 4.9718 4.9718 4.9718 60.00 60.00 60.00
Fractional coordinates of all 4 atoms:
Pm1 0.7500 0.7500 0.7500
Lu1 0.2500 0.2500 0.2500
Tc1 0.5000 0.5000 0.5000
Au1 0.0000 0.0000 0.0000

---

No. 3
A plane-wave DFT calculation with PBE-GGA was carried out for a geometry-optimized Th2ScRh structure.

Formation enthalpy at 0 K   0.0283 eV/atom
Relative energy among the computed polymorphs   0.443 eV/atom
Size of the total moment   0.4 μB/f.u.
VASP energy   -7.10 eV per atom

Lattice parameters (Å, degrees): 3.6482 3.6482 10.3155 79.81 79.81 60.00
Fractional coordinates of all 4 atoms:
Sc1 0.0000 0.0000 0.0000
Rh1 0.5000 0.5000 0.5000
Th1 0.1037 0.1037 0.6888
Th2 0.8963 0.8963 0.3112

---

No. 4
A plane-wave DFT calculation with PBE-GGA was carried out for a geometry-optimized Th3GaFe2 structure.

Formation enthalpy at 0 K   -0.1475 eV/atom
Size of the total moment   0.0 μB/f.u.
VASP energy   -7.18 eV per atom

Lattice parameters (Å, degrees): 4.2957 8.3339 7.9501 103.40 105.67 90.00
Fractional coordinates of all 12 atoms:
Th1 0.6016 0.3859 0.2033
Th2 0.2275 0.1857 0.4550
Ga1 0.4178 0.0143 0.8355
Th3 0.9152 0.2804 0.8304
Th4 0.7725 0.8143 0.5450
Fe1 0.2249 0.5783 0.4498
Ga2 0.5822 0.9857 0.1645
Fe2 0.0469 0.1357 0.0939
Fe3 0.9531 0.8643 0.9061
Th5 0.0848 0.7196 0.1696
Fe4 0.7751 0.4217 0.5502
Th6 0.3984 0.6141 0.7967

---

No. 5
A plane-wave DFT calculation with PBE-GGA was carried out for a geometry-optimized TlCo2Hg structure.

Formation enthalpy at 0 K   0.6579 eV/atom
Relative energy among the computed polymorphs   0.266 eV/atom
Size of the total moment   2.2 μB/f.u.
VASP energy   -3.56 eV per atom

Lattice parameters (Å, degrees): 8.4746 8.4746 8.4746 20.96 20.96 20.96
Fractional coordinates of all 4 atoms:
Hg1 0.2500 0.2500 0.2500
Tl1 0.7500 0.7500 0.7500
Co1 0.5001 0.5001 0.5001
Co2 0.9999 0.9999 0.9999